1.
A relaxed structure of Ho2Ni5As4, computed with PBE-GGA.

abc: 5.389 5.431 7.450
angles: 79.66 68.80 60.25
Sites, in units of the cell vectors:
As: 0.784 0.693 0.739
As: 0.477 0.307 0.739
As: 0.216 0.307 0.261
As: 0.523 0.693 0.261
Ni: 0.500 0.500 0.000
Ni: 0.500 0.000 0.000
Ni: 0.750 0.500 0.500
Ni: 0.000 0.500 0.000
Ni: 0.250 0.500 0.500
Ho: 0.140 0.000 0.721
Ho: 0.860 0.000 0.279

Calculated values
Its magnetic moment is 0.00 μB per formula unit. The density of states at the Fermi level comes out at 4.7 states/eV/cell. The final energy is -63.02 eV for the cell shown.



2.
A relaxed structure of CePmCl4, computed with PBE-GGA.

abc: 3.850 7.367 6.814
angles: 106.15 90.00 90.00
Last column: magnetic moment on the atom in μB.
Sites, in units of the cell vectors:
Cl: 0.500 0.257 0.262  0.00
Cl: 0.000 0.747 0.250  -0.01
Cl: 0.000 0.253 0.750  -0.01
Cl: 0.500 0.743 0.738  0.00
Pm: 0.000 0.500 0.500  0.10
Ce: 0.500 0.500 0.000  1.20

Calculated values
For the formation energy (no corrections), the calculation gives -1.943 eV per atom. Its magnetic moment is 1.74 μB per formula unit. Its distance to the lowest polymorph of the same formula is 0.0000 eV/atom. The density of states at the Fermi level comes out at 7.3 states/eV/cell. The final energy is -29.73 eV for the cell shown.



3.
A relaxed structure of MgInAu, computed with PBE-GGA.

abc: 6.097 6.096 3.352
angles: 74.05 74.04 31.91
Sites, in units of the cell vectors:
Au: 0.012 0.012 0.988
In: 0.342 0.342 0.658
Mg: 0.645 0.645 0.355

Calculated values
Its magnetic moment is 0.00 μB per formula unit. The density of states at the Fermi level comes out at 1.0 states/eV/cell. The final energy is -8.46 eV for the cell shown.